Here is an optimized crystal structure of CaMo2PbO8 from the Alexandria database. Energies are from PBE+U.

a b c (Å): 6.0262 6.0262 7.1066
angles (deg): 90.00 90.00 120.00
Last column: nearest neighbours and their distance in Å.
Space group P-3m1 (No. 164)
Asymmetric unit:
Ca1 0.0000 0.0000 0.0000  6 O 2.35
Mo1 0.3333 0.6667 0.2982  4 O 1.75-1.82
Pb1 0.0000 0.0000 0.5000  6 O 2.63
O1 0.1672 0.3343 0.2224  1 Mo 1.82
O2 0.3333 0.6667 0.5448  1 Mo 1.75

Computed properties:
For the total energy, the calculation gives -6.833 eV/atom. For the density of states at the Fermi level, the calculation gives 0.00 states/eV per cell.